The following is a DFT calculation (PBE+U) of BaErMn2O5 after structural relaxation.

## Properties
M_tot, Bohr magnetons per cell: 8.41
Electronic total energy, eV per formula unit: -64.9
DOS at the Fermi energy, states/eV per atom: 0.1076

Unit cell a=3.9495 b=3.9495 c=7.8406 alpha=90.00 beta=90.00 gamma=90.00
With the nearest neighbours (Å) after each atom.
Space group P4/mmm (No. 123)
Symmetry-distinct sites (fractional):
Ba: 0.0000 0.0000 0.0000 [1 per cell]  8 O 2.83
Er: 0.0000 0.0000 0.5000 [1 per cell]  12 O 2.74-2.79
Mn: 0.5000 0.5000 0.2537 [2 per cell]  5 O 1.93-1.98
O: 0.0000 0.5000 0.2586 [4 per cell]  2 Mn 1.98
O: 0.5000 0.5000 0.5000 [1 per cell]  2 Mn 1.93